(1)
RbTcNi | GGA-PBE | relaxed

a = 12.2422 Å, b = 3.6957 Å, c = 3.8857 Å
α = 89.99°, β = 90.59°, γ = 90.90°
Closest atoms and distances in Å follow each position.
Atoms (fractional coordinates):
Rb1 0.5351 0.7580 0.4446  2 Ni 3.55-3.59, 2 Tc 3.59-3.62, 4 Rb 3.70-3.89
Rb2 0.9046 0.3307 0.9446  1 Ni 3.12
Ni1 0.1568 0.2262 0.9429  2 Ni 2.47, 6 Tc 2.48-2.70
Ni2 0.2906 0.7333 0.9471  2 Ni 2.47, 6 Tc 2.51-2.70
Tc1 0.2822 0.2373 0.4469  2 Tc 2.37-2.38, 2 Ni 2.48
Tc2 0.1603 0.7327 0.4430  2 Tc 2.37-2.38, 2 Ni 2.51

formation enthalpy at 0 K: 1.58 eV/f.u.
E_tot: -5.1787 eV per atom
distance to the lowest polymorph of the same formula: 0.068 eV per atom
density: 4575 kg/m3

=====

(2)
RbTcNi | GGA-PBE | relaxed

a = 3.2650 Å, b = 8.0781 Å, c = 5.7228 Å
α = 92.03°, β = 90.01°, γ = 101.76°
Closest atoms and distances in Å follow each position.
Atoms (fractional coordinates):
Ni1 0.3794 0.1586 0.4098  2 Ni 2.43, 3 Tc 2.48-2.67
Ni2 0.9565 0.3109 0.1833  2 Tc 2.43, 2 Ni 2.43
Tc1 0.3788 0.1582 0.9428  2 Tc 2.35, 2 Ni 2.43
Tc2 0.8201 0.0419 0.6887  2 Tc 2.35, 2 Ni 2.48-2.49
Rb1 0.0502 0.5088 0.6762  4 Ni 3.18-3.52, 2 Rb 3.26
Rb2 0.6947 0.7960 0.1879  2 Rb 3.26, 4 Tc 3.40-3.63, 2 Ni 3.50

formation enthalpy at 0 K: 2.26 eV/f.u.
E_tot: -4.9500 eV per atom
distance to the lowest polymorph of the same formula: 0.297 eV per atom
density: 5446 kg/m3

=====

(3)
RbTcNi | GGA-PBE | relaxed

a = 4.7666 Å, b = 4.7666 Å, c = 8.0148 Å
α = 90.00°, β = 90.00°, γ = 120.00°
Closest atoms and distances in Å follow each position.
Atoms (fractional coordinates):
Ni1 0.0000 0.0000 0.8528  1 Ni 2.36
Ni2 0.0000 0.0000 0.1472  1 Ni 2.36
Rb1 0.6667 0.3333 0.0000  6 Tc 2.96, 6 Ni 2.99
Rb2 0.6667 0.3333 0.5000  6 Ni 3.95, 2 Rb 4.01, 6 Tc 4.01
Tc1 0.3333 0.6667 0.1363  1 Tc 2.19
Tc2 0.3333 0.6667 0.8637  1 Tc 2.19

formation enthalpy at 0 K: 3.89 eV/f.u.
E_tot: -4.4072 eV per atom
distance to the lowest polymorph of the same formula: 0.840 eV per atom
density: 5100 kg/m3

=====

Question: Among the records above, which one has the lowest distance to the lowest polymorph of the same formula?
Answer: number 1

=====

Question: Among the records above, which one has the lowest distance to the lowest polymorph of the same formula?
Answer: number 1

=====

Question: Which of these has the lowest distance to the lowest polymorph of the same formula?
Answer: number 1